(1)
A crystal of YMoPb2 relaxed with PBEsol, computed with SCAN.

space-group type = C2/m
calculated formation energy = 5.03 kJ per mole of atoms
offset from the most stable computed form = 0 meV per atom
DFT total energy = -53.520 eV/atom

abc: 3.9754 5.1163 5.3171
angles: 110.36 90.00 112.86
Closest atoms and distances in Å follow each position.
Positions (direct):
Mo (0.0000, 0.0000, 0.5000)  6 Pb 2.88-3.09
Pb (0.7363, 0.4727, 0.7125)  3 Mo 2.88-3.09, 2 Pb 3.09, 3 Y 3.10-3.14
Pb (0.2637, 0.5273, 0.2875)  3 Mo 2.88-3.09, 2 Pb 3.09, 3 Y 3.10-3.14
Y (0.5000, 0.0000, 0.0000)  6 Pb 3.10-3.14, 4 Mo 3.32



(2)
A crystal of YIn3Ga relaxed with PBEsol, computed with SCAN.

space-group type = Pm-3m
calculated formation energy = 65.09 kJ per mole of atoms
DFT total energy = -28.195 eV/atom

abc: 5.7303 5.7303 5.7303
angles: 90.00 90.00 90.00
Closest atoms and distances in Å follow each position.
Positions (direct):
Y (0.0000, 0.0000, 0.0000)  6 In 2.87
Ga (0.5000, 0.5000, 0.5000)  12 In 4.05
In (0.0000, 0.5000, 0.0000)  2 Y 2.87
In (0.0000, 0.0000, 0.5000)  2 Y 2.87
In (0.5000, 0.0000, 0.0000)  2 Y 2.87



(3)
A crystal of Ir2PtPb relaxed with PBEsol, computed with SCAN.

space-group type = C2/m
calculated formation energy = 50.50 kJ per mole of atoms
DFT total energy = -71.520 eV/atom

abc: 2.8530 4.7851 5.5909
angles: 115.26 104.66 90.28
Closest atoms and distances in Å follow each position.
Positions (direct):
Ir (0.0000, 0.5000, 0.5000)  6 Ir 2.78-2.85, 2 Pb 2.80, 2 Pt 2.80
Ir (0.5000, 0.0000, 0.5000)  6 Ir 2.78-2.85, 2 Pt 2.80, 2 Pb 2.80
Pb (0.0000, 0.0000, 0.0000)  4 Pt 2.78-2.79, 4 Ir 2.80, 2 Pb 2.85
Pt (0.5000, 0.5000, 0.0000)  4 Pb 2.78-2.79, 4 Ir 2.80, 2 Pt 2.85



(4)
A crystal of NaPH2Pd relaxed with PBEsol, computed with SCAN.

space-group type = P4/mmm
DFT total energy = -10.249 eV/atom

abc: 3.5736 3.5736 5.4702
angles: 90.00 90.00 90.00
Closest atoms and distances in Å follow each position.
Positions (direct):
P (0.5000, 0.5000, 0.5000)  4 Na 2.53
Na (0.0000, 0.0000, 0.5000)  4 P 2.53, 2 Pd 2.74
Pd (0.0000, 0.0000, 0.0000)  4 H 1.79
H (0.0000, 0.5000, 0.0000)  2 Pd 1.79
H (0.5000, 0.0000, 0.0000)  2 Pd 1.79



(5)
A crystal of Tl3MoAs relaxed with PBEsol, computed with SCAN.

space-group type = Pm-3m
calculated formation energy = 108.52 kJ per mole of atoms
DFT total energy = -53.305 eV/atom

abc: 5.4116 5.4116 5.4116
angles: 90.00 90.00 90.00
Closest atoms and distances in Å follow each position.
Positions (direct):
As (0.0000, 0.0000, 0.0000)  6 Tl 2.71
Tl (0.0000, 0.5000, 0.0000)  2 As 2.71
Tl (0.0000, 0.0000, 0.5000)  2 As 2.71
Tl (0.5000, 0.0000, 0.0000)  2 As 2.71
Mo (0.5000, 0.5000, 0.5000)  12 Tl 3.83



(6)
A crystal of Rb2PdCl4 relaxed with PBEsol, computed with SCAN.

space-group type = P4/mmm
DFT total energy = -16.734 eV/atom

abc: 4.3091 7.1563 7.1563
angles: 90.00 90.00 90.00
Closest atoms and distances in Å follow each position.
Positions (direct):
Pd (0.0000, 0.0000, 0.0000)  4 Cl 2.29
Rb (0.5000, 0.5000, 0.0000)  8 Cl 3.33
Rb (0.5000, 0.0000, 0.5000)  8 Cl 3.33
Cl (0.0000, 0.2265, 0.2265)  1 Pd 2.29
Cl (0.0000, 0.7735, 0.7735)  1 Pd 2.29
Cl (0.0000, 0.2265, 0.7735)  1 Pd 2.29
Cl (0.0000, 0.7735, 0.2265)  1 Pd 2.29



(7)
A crystal of TaMnAu2 relaxed with PBEsol, computed with SCAN.

space-group type = P4/mmm
calculated formation energy = -18.88 kJ per mole of atoms
DFT total energy = -55.984 eV/atom

abc: 2.8231 4.8599 4.8599
angles: 90.00 90.00 90.00
Closest atoms and distances in Å follow each position.
Positions (direct):
Au (0.0000, 0.0000, 0.5000)  4 Ta 2.81, 4 Mn 2.81, 2 Au 2.82
Au (0.0000, 0.5000, 0.0000)  4 Ta 2.81, 4 Mn 2.81, 2 Au 2.82
Mn (0.5000, 0.5000, 0.5000)  8 Au 2.81, 2 Mn 2.82
Ta (0.5000, 0.0000, 0.0000)  8 Au 2.81, 2 Ta 2.82



(8)
A crystal of CoSb2Rh relaxed with PBEsol, computed with SCAN.

space-group type = P4/mmm
offset from the most stable computed form = 154 meV per atom
DFT total energy = -31.192 eV/atom

abc: 3.1880 3.1885 6.4401
angles: 89.96 90.00 90.00
Closest atoms and distances in Å follow each position.
Positions (direct):
Sb (0.0000, 0.0005, 0.2405)  4 Co 2.73-2.74, 4 Rh 2.81
Sb (0.0000, 0.9995, 0.7595)  4 Co 2.73-2.74, 4 Rh 2.81
Rh (0.5000, 0.5000, 0.5000)  8 Sb 2.81
Co (0.5000, 0.5000, 0.0000)  8 Sb 2.73-2.74



(9)
A crystal of ZrBiSe2Br relaxed with PBEsol, computed with SCAN.

space-group type = P4/mmm
DFT total energy = -33.444 eV/atom

abc: 5.3333 5.4538 5.4538
angles: 90.00 90.00 90.00
Closest atoms and distances in Å follow each position.
Positions (direct):
Br (0.5000, 0.0000, 0.0000)  2 Bi 2.67
Se (0.0000, 0.0000, 0.5000)  2 Bi 2.73
Se (0.0000, 0.5000, 0.0000)  2 Bi 2.73
Bi (0.0000, 0.0000, 0.0000)  2 Br 2.67, 4 Se 2.73
Zr (0.5000, 0.5000, 0.5000)  8 Se 3.81, 4 Br 3.86



(10)
A crystal of CoPSe2 relaxed with PBEsol, computed with SCAN.

space-group type = Immm
DFT total energy = -16.853 eV/atom

abc: 3.3271 3.5219 6.3747
angles: 106.04 105.13 90.00
Closest atoms and distances in Å follow each position.
Positions (direct):
Co (0.0000, 0.5000, 0.0000)  4 P 2.42, 4 Se 2.43
P (0.5000, 0.0000, 0.0000)  4 Co 2.42, 4 Se 2.50
Se (0.6508, 0.6508, 0.3015)  2 Co 2.43, 2 P 2.50
Se (0.3492, 0.3492, 0.6985)  2 Co 2.43, 2 P 2.50



(11)
A crystal of Ta2FeIr relaxed with PBEsol, computed with SCAN.

space-group type = Cm
calculated formation energy = -24.95 kJ per mole of atoms
DFT total energy = -55.857 eV/atom

abc: 2.7958 4.6991 4.8596
angles: 100.48 106.72 90.00
Closest atoms and distances in Å follow each position.
Positions (direct):
Fe (0.4895, 0.5299, 0.9790)  7 Ta 2.66-2.74, 2 Ir 2.67, 2 Fe 2.80
Ir (0.7665, 0.2298, 0.5331)  7 Ta 2.60-2.81, 2 Fe 2.67, 2 Ir 2.80
Ta (0.0107, 0.0377, 0.0214)  3 Ir 2.60-2.76, 4 Fe 2.74, 3 Ta 2.80-2.83
Ta (0.2333, 0.7026, 0.4665)  3 Fe 2.66, 4 Ir 2.69-2.81, 3 Ta 2.80-2.83



(12)
A crystal of Li3V2O4F4 relaxed with PBEsol, computed with SCAN.

space-group type = P2_1
offset from the most stable computed form = 26 meV per atom
DFT total energy = -9.062 eV/atom

abc: 4.8803 7.1298 7.5733
angles: 101.65 90.01 90.03
Closest atoms and distances in Å follow each position.
Positions (direct):
Li (0.7412, 0.9688, 0.0909)  1 F 1.88, 5 O 1.98-2.08
Li (0.7539, 0.6479, 0.3662)  3 F 1.93-1.97
Li (0.7707, 0.1845, 0.3932)  3 F 1.81-1.95
Li (0.2538, 0.8518, 0.6338)  3 F 1.93-1.97
Li (0.2712, 0.3152, 0.6070)  3 F 1.81-1.95
Li (0.2409, 0.5313, 0.9091)  1 F 1.88, 5 O 1.98-2.08
V (0.2314, 0.8267, 0.1673)  3 O 1.71-1.84
V (0.2611, 0.3212, 0.1606)  3 O 1.69-1.82
V (0.7313, 0.6733, 0.8327)  3 O 1.71-1.84
V (0.7610, 0.1788, 0.8394)  3 O 1.69-1.82
O (0.9435, 0.7066, 0.0379)  2 V 1.82-1.84, 1 Li 2.03
O (0.5490, 0.1970, 0.0373)  2 V 1.80-1.82, 1 Li 1.99
O (0.3665, 0.5493, 0.1743)  1 V 1.69
O (0.1077, 0.0540, 0.1882)  1 V 1.71
O (0.8663, 0.9508, 0.8259)  1 V 1.69
O (0.6073, 0.4459, 0.8117)  1 V 1.71
O (0.4436, 0.7933, 0.9621)  2 V 1.82-1.84, 1 Li 2.03
O (0.0490, 0.3031, 0.9627)  2 V 1.80-1.82, 1 Li 1.99
F (0.5742, 0.9107, 0.2971)  1 Li 1.88, 1 V 1.97
F (0.9422, 0.3990, 0.3122)  1 V 1.95, 2 Li 1.95-1.97
F (0.0901, 0.7989, 0.3975)  1 V 1.92, 2 Li 1.93-1.95
F (0.4301, 0.3010, 0.3880)  2 Li 1.81-1.86, 1 V 1.94
F (0.5900, 0.7011, 0.6025)  1 V 1.92, 2 Li 1.93-1.95
F (0.9301, 0.1992, 0.6121)  2 Li 1.81-1.86, 1 V 1.94
F (0.0738, 0.5897, 0.7029)  1 Li 1.88, 1 V 1.97
F (0.4422, 0.1007, 0.6876)  2 Li 1.95-1.97, 1 V 1.95



(13)
A crystal of PtAu4Br relaxed with PBEsol, computed with SCAN.

space-group type = F-43m
DFT total energy = -60.520 eV/atom

abc: 5.4112 5.4112 5.4112
angles: 60.00 60.00 60.00
Closest atoms and distances in Å follow each position.
Positions (direct):
Au (0.3746, 0.3746, 0.3746)  6 Au 2.70-2.71
Au (0.3746, 0.3746, 0.8761)  6 Au 2.70-2.71
Au (0.8761, 0.3746, 0.3746)  6 Au 2.70-2.71
Au (0.3746, 0.8761, 0.3746)  6 Au 2.70-2.71
Br (0.7500, 0.7500, 0.7500)  12 Au 3.17, 4 Pt 3.31
Pt (0.0000, 0.0000, 0.0000)  12 Au 3.17, 4 Br 3.31



(14)
A crystal of TaAg3Os relaxed with PBEsol, computed with SCAN.

space-group type = Pm-3m
calculated formation energy = 251.63 kJ per mole of atoms
DFT total energy = -43.905 eV/atom

abc: 4.8701 4.8701 4.8701
angles: 90.00 90.00 90.00
Closest atoms and distances in Å follow each position.
Positions (direct):
Os (0.5000, 0.5000, 0.5000)  12 Ag 3.44
Ag (0.0000, 0.5000, 0.0000)  2 Ta 2.44
Ag (0.0000, 0.0000, 0.5000)  2 Ta 2.44
Ag (0.5000, 0.0000, 0.0000)  2 Ta 2.44
Ta (0.0000, 0.0000, 0.0000)  6 Ag 2.44



(15)
A crystal of La2MgSc relaxed with PBEsol, computed with SCAN.

space-group type = P4/mmm
calculated formation energy = -1.47 kJ per mole of atoms
DFT total energy = -26.370 eV/atom

abc: 3.7258 5.6063 5.6063
angles: 90.00 90.00 90.00
Closest atoms and distances in Å follow each position.
Positions (direct):
Sc (0.5000, 0.0000, 0.0000)  8 La 3.37, 2 Sc 3.73
Mg (0.5000, 0.5000, 0.5000)  8 La 3.37, 2 Mg 3.73
La (0.0000, 0.0000, 0.5000)  4 Mg 3.37, 4 Sc 3.37, 2 La 3.73
La (0.0000, 0.5000, 0.0000)  4 Mg 3.37, 4 Sc 3.37, 2 La 3.73



(16)
A crystal of TcAg relaxed with PBEsol, computed with SCAN.

space-group type = P6_3/mmc
calculated formation energy = 120.90 kJ per mole of atoms
offset from the most stable computed form = 996 meV per atom
DFT total energy = -31.960 eV/atom

abc: 4.2422 4.2422 4.6095
angles: 90.00 90.00 120.00
Closest atoms and distances in Å follow each position.
Positions (direct):
Ag (0.6667, 0.3333, 0.7500)  6 Tc 2.71
Ag (0.3333, 0.6667, 0.2500)  6 Tc 2.71
Tc (0.0000, 0.0000, 0.0000)  2 Tc 2.30
Tc (0.0000, 0.0000, 0.5000)  2 Tc 2.30



(17)
A crystal of NbOsC2 relaxed with PBEsol, computed with SCAN.

space-group type = Fm-3m
calculated formation energy = 92.69 kJ per mole of atoms
DFT total energy = -30.342 eV/atom

abc: 3.8480 3.8480 3.8480
angles: 60.00 60.00 60.00
Closest atoms and distances in Å follow each position.
Positions (direct):
Nb (0.0000, 0.0000, 0.0000)  8 C 2.36
Os (0.5000, 0.5000, 0.5000)  8 C 2.36
C (0.2500, 0.2500, 0.2500)  4 Nb 2.36, 4 Os 2.36
C (0.7500, 0.7500, 0.7500)  4 Nb 2.36, 4 Os 2.36



(18)
A crystal of YIrCl relaxed with PBEsol, computed with SCAN.

space-group type = P3m1
DFT total energy = -36.376 eV/atom

abc: 3.4202 3.4202 6.5163
angles: 90.00 90.00 120.00
Closest atoms and distances in Å follow each position.
Positions (direct):
Y (0.3333, 0.6667, 0.3356)  3 Ir 2.70, 3 Cl 2.73
Ir (0.6667, 0.3333, 0.6179)  3 Y 2.70
Cl (0.0000, 0.0000, 0.0465)  3 Y 2.73



(19)
A crystal of SbAu3I relaxed with PBEsol, computed with SCAN.

space-group type = Pm-3m
DFT total energy = -55.875 eV/atom

abc: 5.1665 5.1665 5.1665
angles: 90.00 90.00 90.00
Closest atoms and distances in Å follow each position.
Positions (direct):
I (0.5000, 0.5000, 0.5000)  12 Au 3.65
Sb (0.0000, 0.0000, 0.0000)  6 Au 2.58
Au (0.0000, 0.5000, 0.0000)  2 Sb 2.58
Au (0.0000, 0.0000, 0.5000)  2 Sb 2.58
Au (0.5000, 0.0000, 0.0000)  2 Sb 2.58



(20)
A crystal of Sc2CoCl relaxed with PBEsol, computed with SCAN.

space-group type = Pmmm
offset from the most stable computed form = 0 meV per atom
DFT total energy = -14.330 eV/atom

abc: 3.0630 3.1689 7.3761
angles: 90.01 90.00 90.00
Closest atoms and distances in Å follow each position.
Positions (direct):
Sc (0.0000, 0.9997, 0.7955)  2 Cl 2.66, 4 Co 2.67
Sc (0.0000, 0.0003, 0.2045)  2 Cl 2.66, 4 Co 2.67
Co (0.5000, 0.5000, 0.0000)  8 Sc 2.67
Cl (0.5000, 0.0000, 0.5000)  4 Sc 2.66



(21)
A crystal of Y2TcBr relaxed with PBEsol, computed with SCAN.

space-group type = I-4m2
offset from the most stable computed form = 715 meV per atom
DFT total energy = -27.527 eV/atom

abc: 3.9880 3.9880 6.0706
angles: 109.18 109.18 90.00
Closest atoms and distances in Å follow each position.
Positions (direct):
Y (0.0000, 0.0000, 0.0000)  4 Br 2.82
Y (0.7500, 0.2500, 0.5000)  4 Tc 2.82
Tc (0.2500, 0.7500, 0.5000)  4 Y 2.82
Br (0.5000, 0.5000, 0.0000)  4 Y 2.82



(22)
A crystal of TlSbPb2 relaxed with PBEsol, computed with SCAN.

space-group type = Pmmm
offset from the most stable computed form = 26 meV per atom
DFT total energy = -65.252 eV/atom

abc: 4.7149 4.9538 4.9390
angles: 90.00 90.00 90.00
Closest atoms and distances in Å follow each position.
Positions (direct):
Pb (0.0000, 0.0000, 0.0000)  4 Tl 3.41, 4 Sb 3.42, 4 Pb 3.50
Pb (0.0000, 0.5000, 0.5000)  4 Sb 3.41, 4 Tl 3.42, 4 Pb 3.50
Sb (0.5000, 0.5000, 0.0000)  8 Pb 3.41-3.42, 4 Tl 3.50
Tl (0.5000, 0.0000, 0.5000)  8 Pb 3.41-3.42, 4 Sb 3.50



(23)
A crystal of Ni2RhCl relaxed with PBEsol, computed with SCAN.

space-group type = I-4m2
offset from the most stable computed form = 249 meV per atom
DFT total energy = -17.897 eV/atom

abc: 3.8510 4.3762 3.8510
angles: 63.90 90.00 116.10
Closest atoms and distances in Å follow each position.
Positions (direct):
Cl (0.7500, 0.5000, 0.7500)  8 Ni 2.58-2.72, 4 Rh 2.58
Ni (0.0000, 0.0000, 0.0000)  4 Ni 2.58, 4 Cl 2.58, 4 Rh 2.72
Ni (0.2500, 0.5000, 0.2500)  4 Rh 2.58, 4 Ni 2.58, 4 Cl 2.72
Rh (0.5000, 0.0000, 0.5000)  4 Cl 2.58, 8 Ni 2.58-2.72



(24)
A crystal of TaCdNi2Sn relaxed with PBEsol, computed with SCAN.

space-group type = P4/mmm
calculated formation energy = 111.15 kJ per mole of atoms
DFT total energy = -31.901 eV/atom

abc: 4.5624 4.5624 5.2769
angles: 90.00 90.00 90.00
Closest atoms and distances in Å follow each position.
Positions (direct):
Ni (0.0000, 0.5000, 0.0000)  2 Ta 2.28
Ni (0.5000, 0.0000, 0.0000)  2 Ta 2.28
Cd (0.5000, 0.5000, 0.5000)  4 Sn 3.23, 8 Ni 3.49
Sn (0.0000, 0.0000, 0.5000)  2 Ta 2.64
Ta (0.0000, 0.0000, 0.0000)  4 Ni 2.28



(25)
A crystal of RbAgSbI2 relaxed with PBEsol, computed with SCAN.

space-group type = P4/mmm
DFT total energy = -32.885 eV/atom

abc: 5.2824 5.9135 5.9135
angles: 90.00 90.00 90.00
Closest atoms and distances in Å follow each position.
Positions (direct):
I (0.0000, 0.0000, 0.5000)  2 Ag 2.96
I (0.0000, 0.5000, 0.0000)  2 Ag 2.96
Sb (0.5000, 0.0000, 0.0000)  2 Ag 2.64
Rb (0.5000, 0.5000, 0.5000)  8 I 3.96, 4 Sb 4.18
Ag (0.0000, 0.0000, 0.0000)  2 Sb 2.64, 4 I 2.96



(26)
A crystal of NaIn2P relaxed with PBEsol, computed with SCAN.

space-group type = I-42d
calculated formation energy = -22.34 kJ per mole of atoms
DFT total energy = -20.578 eV/atom

abc: 5.4767 6.5377 6.5377
angles: 79.90 65.24 65.24
Closest atoms and distances in Å follow each position.
Positions (direct):
P (0.7500, 0.5000, 0.5000)  4 In 2.67, 2 Na 2.74
P (0.0000, 0.0000, 0.0000)  4 In 2.67, 2 Na 2.74
Na (0.2500, 0.5000, 0.5000)  2 P 2.74
Na (0.5000, 0.0000, 0.0000)  2 P 2.74
In (0.0547, 0.0703, 0.5703)  2 P 2.67, 2 In 2.98
In (0.6953, 0.9297, 0.4297)  2 P 2.67, 2 In 2.98
In (0.3750, 0.5703, 0.9297)  2 P 2.67, 2 In 2.98
In (0.8750, 0.4297, 0.0703)  2 P 2.67, 2 In 2.98



(27)
A crystal of CsGaFe3 relaxed with PBEsol, computed with SCAN.

space-group type = Pm-3m
calculated formation energy = 110.29 kJ per mole of atoms
DFT total energy = -20.566 eV/atom

abc: 4.7224 4.7224 4.7224
angles: 90.00 90.00 90.00
Closest atoms and distances in Å follow each position.
Positions (direct):
Cs (0.5000, 0.5000, 0.5000)  12 Fe 3.34
Fe (0.0000, 0.5000, 0.0000)  2 Ga 2.36
Fe (0.0000, 0.0000, 0.5000)  2 Ga 2.36
Fe (0.5000, 0.0000, 0.0000)  2 Ga 2.36
Ga (0.0000, 0.0000, 0.0000)  6 Fe 2.36